# 1
# AgPdPb3

A geometry-optimized AgPdPb3 structure (PBE-GGA, Alexandria).

Geometry as POSCAR:
```
AgPdPb3
1.0
5.353 0.000 0.000
0.000 5.353 0.000
0.000 0.000 5.353
Ag Pd Pb
1 1 3
Direct
0.000 0.000 0.000
0.500 0.500 0.500
0.000 0.500 0.500
0.500 0.000 0.500
0.500 0.500 0.000
```

Computed properties:
Energy above the lowest structure with this stoichiometry in meV per atom: 239
Energy of formation from the pure elements in eV/f.u.: 1.198

# 2
# Ho3Er2C3

A geometry-optimized Ho3Er2C3 structure (PBE-GGA, Alexandria).

Geometry as POSCAR:
```
Ho3Er2C3
1.0
5.831 -2.466 0.000
5.831 2.466 0.000
-0.025 0.000 11.774
Ho Er C
6 4 6
Direct
0.000 0.000 0.000
0.002 0.002 0.263
0.203 0.203 0.631
0.617 0.617 0.809
0.695 0.695 0.131
0.897 0.897 0.500
0.277 0.277 0.952
0.279 0.279 0.310
0.620 0.620 0.451
0.895 0.895 0.763
0.102 0.102 0.826
0.106 0.106 0.437
0.159 0.159 0.131
0.739 0.739 0.631
0.792 0.792 0.937
0.793 0.793 0.325
```

Computed properties:
Energy of formation from the pure elements in eV/f.u.: -1.534

# 3
# SrMnCu2

A geometry-optimized SrMnCu2 structure (PBE-GGA, Alexandria).

Geometry as POSCAR:
```
SrMnCu2
1.0
-2.130 2.130 4.230
2.130 -2.130 4.230
2.130 2.130 -4.230
Sr Mn Cu
1 1 2
Direct
0.000 0.000 0.000
0.750 0.250 0.500
0.250 0.750 0.500
0.500 0.500 0.000
```

Computed properties:
Energy of formation from the pure elements in eV/f.u.: 1.959

# 4
# Cs3MnSe

A geometry-optimized Cs3MnSe structure (PBE-GGA, Alexandria).

Geometry as POSCAR:
```
Cs3MnSe
1.0
6.996 0.000 0.000
0.000 6.996 0.000
0.000 0.000 6.996
Cs Mn Se
3 1 1
Direct
0.000 0.000 0.500
0.000 0.500 0.000
0.500 0.000 0.000
0.500 0.500 0.500
0.000 0.000 0.000
```

Computed properties:
Energy above the lowest structure with this stoichiometry in meV per atom: 0
Energy relative to the elements, uncorrected in kJ/mol of formula units: 4